Record 1
This record from Alexandria describes Tl4In3Hg3 after structural relaxation. The functional is GGA-PBE.

Results
- Space-group type: I-43d
- Electronic total energy: -1.8078 eV/atom
- Theoretical density: 9.84 g cm⁻³

a = 9.1776 Å, b = 9.1776 Å, c = 9.1776 Å
α = 109.47°, β = 109.47°, γ = 109.47°
Last column: nearest neighbours and their distance in Å.
Sites, in units of the cell vectors:
Tl (0.2449, 0.7449, 0.7449)  3 Hg 3.22, 3 In 3.27
Tl (0.0000, 0.0000, 0.7551)  3 Hg 3.22, 3 In 3.27
Tl (0.5000, 0.7551, 0.5000)  3 Hg 3.22, 3 In 3.27
Tl (0.0000, 0.0000, 0.2551)  3 Hg 3.22, 3 In 3.27
Tl (0.7449, 0.2449, 0.2449)  3 Hg 3.22, 3 In 3.27
Tl (0.5000, 0.2551, 0.5000)  3 Hg 3.22, 3 In 3.27
Tl (0.2551, 0.5000, 0.0000)  3 Hg 3.22, 3 In 3.27
Tl (0.7551, 0.5000, 0.0000)  3 Hg 3.22, 3 In 3.27
In (0.8750, 0.2500, 0.6250)  4 Hg 3.24, 4 Tl 3.27
In (0.7500, 0.6250, 0.3750)  4 Hg 3.24, 4 Tl 3.27
In (0.6250, 0.7500, 0.8750)  4 Hg 3.24, 4 Tl 3.27
In (0.1250, 0.3750, 0.2500)  4 Hg 3.24, 4 Tl 3.27
In (0.3750, 0.1250, 0.7500)  4 Hg 3.24, 4 Tl 3.27
In (0.2500, 0.8750, 0.1250)  4 Hg 3.24, 4 Tl 3.27
Hg (0.2500, 0.3750, 0.6250)  4 Tl 3.22, 4 In 3.24
Hg (0.8750, 0.6250, 0.7500)  4 Tl 3.22, 4 In 3.24
Hg (0.3750, 0.2500, 0.1250)  4 Tl 3.22, 4 In 3.24
Hg (0.1250, 0.7500, 0.3750)  4 Tl 3.22, 4 In 3.24
Hg (0.6250, 0.8750, 0.2500)  4 Tl 3.22, 4 In 3.24
Hg (0.7500, 0.1250, 0.8750)  4 Tl 3.22, 4 In 3.24


Record 2
This record from Alexandria describes Tl4In3Hg8 after structural relaxation. The functional is GGA-PBE.

Results
- Space-group type: C2/m
- Distance to the lowest polymorph of the same formula: 10 meV/atom
- Theoretical density: 10.21 g cm⁻³

a = 6.6648 Å, b = 8.8083 Å, c = 8.8083 Å
α = 85.92°, β = 110.98°, γ = 110.98°
Last column: nearest neighbours and their distance in Å.
Sites, in units of the cell vectors:
In (0.5000, 0.5000, 0.5000)  6 Hg 2.98-3.14
In (0.5000, 0.0000, 0.5000)  6 Hg 3.03-3.33, 2 Tl 3.33
In (0.5000, 0.5000, 0.0000)  6 Hg 3.03-3.33, 2 Tl 3.33
Hg (0.9635, 0.3346, 0.3346)  3 Hg 3.12-3.36, 1 In 3.14, 2 Tl 3.24
Hg (0.0365, 0.6654, 0.6654)  3 Hg 3.12-3.36, 1 In 3.14, 2 Tl 3.24
Hg (0.4396, 0.2533, 0.2533)  3 In 3.00-3.03, 1 Hg 3.12, 1 Tl 3.14
Hg (0.5000, 0.2522, 0.7478)  3 In 2.98-3.22, 3 Tl 3.03-3.31
Hg (0.5604, 0.7467, 0.7467)  3 In 3.00-3.03, 1 Hg 3.12, 1 Tl 3.14
Hg (0.0000, 0.2769, 0.7231)  3 Tl 3.24-3.32, 2 In 3.33, 4 Hg 3.35-3.36
Hg (0.0000, 0.7231, 0.2769)  3 Tl 3.24-3.32, 2 In 3.33, 4 Hg 3.35-3.36
Hg (0.5000, 0.7478, 0.2522)  3 In 2.98-3.22, 3 Tl 3.03-3.31
Tl (0.0000, 0.0000, 0.5000)  6 Hg 3.24-3.31, 2 In 3.33
Tl (0.0000, 0.5000, 0.0000)  6 Hg 3.24-3.31, 2 In 3.33
Tl (0.0000, 0.0000, 0.0000)  4 Hg 3.14-3.32, 2 Tl 3.33
Tl (0.5000, 0.0000, 0.0000)  2 Hg 3.03, 2 Tl 3.33


Record 3
This record from Alexandria describes Tl2In5Hg3 after structural relaxation. The functional is GGA-PBE.

Results
- Space-group type: Ibam
- Distance to the lowest polymorph of the same formula: 23 meV/atom
- Theoretical density: 9.08 g cm⁻³

a = 6.5859 Å, b = 9.9521 Å, c = 9.9521 Å
α = 87.22°, β = 70.68°, γ = 70.68°
Last column: nearest neighbours and their distance in Å.
Sites, in units of the cell vectors:
In (0.4960, 0.7540, 0.7540)  3 Hg 3.03-3.15, 5 In 3.11-3.29
In (0.2500, 0.5000, 0.5000)  4 Hg 3.05, 4 In 3.26-3.29
In (0.7500, 0.5000, 0.5000)  4 Hg 3.05, 4 In 3.26-3.29
In (0.0040, 0.2460, 0.2460)  3 Hg 3.03-3.15, 5 In 3.11-3.29
In (0.3853, 0.2622, 0.9671)  3 Hg 2.88-3.00, 2 In 3.11
In (0.1147, 0.0329, 0.7378)  3 Hg 2.88-3.00, 2 In 3.11
In (0.6147, 0.7378, 0.0329)  3 Hg 2.88-3.00, 2 In 3.11
In (0.9960, 0.7540, 0.7540)  3 Hg 3.03-3.15, 5 In 3.11-3.29
In (0.5040, 0.2460, 0.2460)  3 Hg 3.03-3.15, 5 In 3.11-3.29
In (0.8853, 0.9671, 0.2622)  3 Hg 2.88-3.00, 2 In 3.11
Hg (0.2500, 0.0000, 0.0000)  6 In 3.00-3.15, 2 Hg 3.29
Hg (0.7500, 0.0000, 0.0000)  6 In 3.00-3.15, 2 Hg 3.29
Hg (0.3712, 0.4854, 0.7722)  5 In 2.88-3.05
Hg (0.1288, 0.2278, 0.5146)  5 In 2.88-3.05
Hg (0.8712, 0.7722, 0.4854)  5 In 2.88-3.05
Hg (0.6288, 0.5146, 0.2278)  5 In 2.88-3.05
Tl (0.6291, 0.1324, 0.6094)  4 In 3.49-3.65, 4 Hg 3.50-3.55
Tl (0.8709, 0.3906, 0.8676)  4 In 3.49-3.65, 4 Hg 3.50-3.55
Tl (0.3709, 0.8676, 0.3906)  4 In 3.49-3.65, 4 Hg 3.50-3.55
Tl (0.1291, 0.6094, 0.1324)  4 In 3.49-3.65, 4 Hg 3.50-3.55